[1]
Density functional theory data (PBE-GGA) for HoTmFe2Ge2C after structural relaxation.

Output
* calculated total energy: -6.92 eV/atom
* mass density: 9.06 g cm⁻³
* magnetic moment: 0.00 μB/atom

Cell and atoms, written as POSCAR:
```
HoTmFe2Ge2C
1.0
5.314 -1.970 0.000
5.314 1.970 0.000
-4.215 0.000 5.279
Ge Ho Fe C Tm
2 1 2 1 1
Direct
0.162 0.162 0.707
0.839 0.839 0.294
0.558 0.558 0.289
0.196 0.196 0.090
0.803 0.803 0.909
0.999 0.999 0.998
0.443 0.443 0.713
```


[2]
Density functional theory data (PBE-GGA) for LiBeCoAs after structural relaxation.

Output
* energy relative to the lowest polymorph listed for this composition: 192 meV per atom
* calculated total energy: -4.36 eV/atom
* mass density: 5.79 g cm⁻³
* magnetic moment: 0.00 μB/atom

Cell and atoms, written as POSCAR:
```
LiBeCoAs
1.0
0.000 2.781 2.781
2.781 0.000 2.781
2.781 2.781 0.000
Be Co As Li
1 1 1 1
Direct
0.000 0.000 0.000
0.500 0.500 0.500
0.250 0.250 0.250
0.750 0.750 0.750
```


[3]
Density functional theory data (PBE-GGA) for KAgB after structural relaxation.

Output
* energy relative to the lowest polymorph listed for this composition: 483 meV per atom
* calculated total energy: -1.72 eV/atom
* mass density: 2.93 g cm⁻³

Cell and atoms, written as POSCAR:
```
KAgB
1.0
-2.227 -1.968 4.044
-2.349 2.990 3.275
-5.008 -0.073 0.321
B K Ag
1 1 1
Direct
0.750 0.750 0.750
0.000 0.000 0.000
0.250 0.250 0.250
```